# RbCd3B, optimized geometry, DFT PBE-GGA
data_RbCd3B
_space_group_name_H-M_alt 'P m -3 m'
_space_group_IT_number 221
_space_group_name_Hall '-P 4 2 3'
_cell_length_a 6.9333
_cell_length_b 6.9333
_cell_length_c 6.9333
_cell_angle_alpha 90.00
_cell_angle_beta 90.00
_cell_angle_gamma 90.00
loop_
_atom_site_label
_atom_site_fract_x
_atom_site_fract_y
_atom_site_fract_z
Rb1 0.0000 0.0000 0.0000
Cd1 0.0000 0.0000 0.5000
B1 0.5000 0.5000 0.5000
# Energy relative to the lowest polymorph listed for this composition ... 1.071 eV/atom
# V ... 66.66 Å³ per atom
# Total moment ... 0.356 μB per atom
# Crystal system ... cubic
# E ... -0.489 eV per atom

***

# NdTe2Pb, optimized geometry, DFT PBE-GGA
data_NdTe2Pb
_space_group_name_H-M_alt 'R 3 m'
_space_group_IT_number 160
_space_group_name_Hall 'R 3 -2"'
_cell_length_a 4.3892
_cell_length_b 4.3892
_cell_length_c 24.5594
_cell_angle_alpha 90.00
_cell_angle_beta 90.00
_cell_angle_gamma 120.00
loop_
_atom_site_label
_atom_site_fract_x
_atom_site_fract_y
_atom_site_fract_z
Nd1 0.0000 0.0000 0.0000
Te1 0.0000 0.0000 0.5856
Te2 0.0000 0.0000 0.7483
Pb1 0.0000 0.0000 0.1646
# V ... 34.15 Å³ per atom
# Total moment ... 0.197 μB per atom
# Uncorrected formation energy ... -328 kJ/mol of formula units
# Crystal system ... trigonal
# E ... -4.541 eV per atom

***

# KNaSnCl4, optimized geometry, DFT PBE-GGA
data_KNaSnCl4
_space_group_name_H-M_alt 'P 1 21/m 1'
_space_group_IT_number 11
_cell_length_a 8.0695
_cell_length_b 7.9064
_cell_length_c 8.4475
_cell_angle_alpha 90.00
_cell_angle_beta 106.26
_cell_angle_gamma 90.00
loop_
_space_group_symop_operation_xyz
'x,y,z'
'-x,-y,-z'
'-x,y+1/2,-z'
'x,-y+1/2,z'
loop_
_atom_site_label
_atom_site_fract_x
_atom_site_fract_y
_atom_site_fract_z
K1 0.1875 0.2500 0.0167
Na1 0.3088 0.7500 0.3327
Sn1 0.1790 0.2500 0.4955
Cl1 0.0596 0.5075 0.2652
Cl2 0.4277 0.2500 0.7965
Cl3 0.4419 0.2500 0.3766
# V ... 36.96 Å³ per atom
# Total moment ... 0.000 μB per atom
# Uncorrected formation energy ... -984 kJ/mol of formula units
# Crystal system ... monoclinic
# E ... -3.429 eV per atom

***

# La2FeSb, optimized geometry, DFT PBE-GGA
data_La2FeSb
_space_group_name_H-M_alt 'P 4 m m'
_space_group_IT_number 99
_cell_length_a 4.0881
_cell_length_b 4.0881
_cell_length_c 6.5405
_cell_angle_alpha 90.00
_cell_angle_beta 90.00
_cell_angle_gamma 90.00
loop_
_space_group_symop_operation_xyz
'x,y,z'
'-y,x,z'
'-x,-y,z'
'y,-x,z'
'-x,y,z'
'y,x,z'
'x,-y,z'
'-y,-x,z'
loop_
_atom_site_label
_atom_site_fract_x
_atom_site_fract_y
_atom_site_fract_z
La1 0.0000 0.0000 0.0000
La2 0.5000 0.5000 0.2940
Fe1 0.5000 0.5000 0.7562
Sb1 0.0000 0.0000 0.5247
# V ... 27.33 Å³ per atom
# Total moment ... 0.570 μB per atom
# Uncorrected formation energy ... -13 kJ/mol of formula units
# Crystal system ... tetragonal
# E ... -5.644 eV per atom

***

# Cs2ZnSbRu, optimized geometry, DFT PBE-GGA
data_Cs2ZnSbRu
_space_group_name_H-M_alt 'P 4/m m m'
_space_group_IT_number 123
_space_group_name_Hall '-P 4 2'
_cell_length_a 7.3851
_cell_length_b 7.3851
_cell_length_c 5.0088
_cell_angle_alpha 90.00
_cell_angle_beta 90.00
_cell_angle_gamma 90.00
loop_
_atom_site_label
_atom_site_fract_x
_atom_site_fract_y
_atom_site_fract_z
Cs1 0.0000 0.5000 0.0000
Zn1 0.0000 0.0000 0.5000
Sb1 0.5000 0.5000 0.0000
Ru1 0.5000 0.5000 0.5000
# V ... 54.64 Å³ per atom
# Total moment ... 0.269 μB per atom
# Uncorrected formation energy ... 250 kJ/mol of formula units
# Crystal system ... tetragonal
# E ... -2.758 eV per atom

***

# Nd3CN, optimized geometry, DFT PBE-GGA
data_Nd3CN
_space_group_name_H-M_alt 'C 1 2/m 1'
_space_group_IT_number 12
_cell_length_a 6.3192
_cell_length_b 11.9720
_cell_length_c 6.5900
_cell_angle_alpha 90.00
_cell_angle_beta 109.95
_cell_angle_gamma 90.00
loop_
_space_group_symop_operation_xyz
'x,y,z'
'-x,-y,-z'
'-x,y,-z'
'x,-y,z'
'x+1/2,y+1/2,z'
'-x+1/2,-y+1/2,-z'
'-x+1/2,y+1/2,-z'
'x+1/2,-y+1/2,z'
loop_
_atom_site_label
_atom_site_fract_x
_atom_site_fract_y
_atom_site_fract_z
Nd1 0.2429 0.0000 0.2694
Nd2 0.2434 0.3285 0.2266
C1 0.0000 0.1578 0.0000
N1 0.1331 0.5000 0.3258
# V ... 23.43 Å³ per atom
# Total moment ... 0.000 μB per atom
# Uncorrected formation energy ... -198 kJ/mol of formula units
# Crystal system ... monoclinic
# E ... -6.781 eV per atom

***

# ErScFeRu, optimized geometry, DFT PBE-GGA
data_ErScFeRu
_space_group_name_H-M_alt 'F -4 3 m'
_space_group_IT_number 216
_space_group_name_Hall 'F -4 2 3'
_cell_length_a 6.5482
_cell_length_b 6.5482
_cell_length_c 6.5482
_cell_angle_alpha 90.00
_cell_angle_beta 90.00
_cell_angle_gamma 90.00
loop_
_atom_site_label
_atom_site_fract_x
_atom_site_fract_y
_atom_site_fract_z
Er1 0.0000 0.0000 0.0000
Sc1 0.0000 0.0000 0.5000
Fe1 0.2500 0.2500 0.2500
Ru1 0.2500 0.2500 0.7500
# V ... 17.55 Å³ per atom
# Total moment ... 0.325 μB per atom
# Crystal system ... cubic
# E ... -7.343 eV per atom

***

# Co2TeRh, optimized geometry, DFT PBE-GGA
data_Co2TeRh
_space_group_name_H-M_alt 'R 3 m'
_space_group_IT_number 160
_space_group_name_Hall 'R 3 -2"'
_cell_length_a 3.9827
_cell_length_b 3.9827
_cell_length_c 13.4717
_cell_angle_alpha 90.00
_cell_angle_beta 90.00
_cell_angle_gamma 120.00
loop_
_atom_site_label
_atom_site_fract_x
_atom_site_fract_y
_atom_site_fract_z
Co1 0.0000 0.0000 0.0000
Co2 0.0000 0.0000 0.3684
Te1 0.0000 0.0000 0.5676
Rh1 0.0000 0.0000 0.7933
# V ... 15.42 Å³ per atom
# Total moment ... 0.819 μB per atom
# Uncorrected formation energy ... 72 kJ/mol of formula units
# Crystal system ... trigonal
# E ... -5.991 eV per atom

***

# US2I, optimized geometry, DFT PBE-GGA
data_US2I
_space_group_name_H-M_alt 'R -3 m'
_space_group_IT_number 166
_space_group_name_Hall '-R 3 2"'
_cell_length_a 3.9212
_cell_length_b 3.9212
_cell_length_c 30.2620
_cell_angle_alpha 90.00
_cell_angle_beta 90.00
_cell_angle_gamma 120.00
loop_
_atom_site_label
_atom_site_fract_x
_atom_site_fract_y
_atom_site_fract_z
U1 0.0000 0.0000 0.0000
S1 0.0000 0.0000 0.2869
I1 0.0000 0.0000 0.5000
# Energy relative to the lowest polymorph listed for this composition ... 0.136 eV/atom
# V ... 33.58 Å³ per atom
# Total moment ... 0.450 μB per atom
# Uncorrected formation energy ... -338 kJ/mol of formula units
# Crystal system ... trigonal
# E ... -6.148 eV per atom

***

# PrP2Pt7Pb2, optimized geometry, DFT PBE-GGA
data_PrP2Pt7Pb2
_space_group_name_H-M_alt 'I 4/m m m'
_space_group_IT_number 139
_space_group_name_Hall '-I 4 2'
_cell_length_a 4.0250
_cell_length_b 4.0250
_cell_length_c 30.4846
_cell_angle_alpha 90.00
_cell_angle_beta 90.00
_cell_angle_gamma 90.00
loop_
_atom_site_label
_atom_site_fract_x
_atom_site_fract_y
_atom_site_fract_z
Pr1 0.0000 0.0000 0.0000
P1 0.0000 0.0000 0.3828
Pt1 0.0000 0.0000 0.3082
Pt2 0.0000 0.0000 0.5000
Pt3 0.0000 0.5000 0.0756
Pb1 0.0000 0.0000 0.2115
# V ... 20.58 Å³ per atom
# Total moment ... 0.000 μB per atom
# Crystal system ... tetragonal
# E ... -5.987 eV per atom

***

# YMnP2, optimized geometry, DFT PBE-GGA
data_YMnP2
_space_group_name_H-M_alt 'I -4 2 d'
_space_group_IT_number 122
_space_group_name_Hall 'I -4 2bw'
_cell_length_a 4.6105
_cell_length_b 4.6105
_cell_length_c 14.2387
_cell_angle_alpha 90.00
_cell_angle_beta 90.00
_cell_angle_gamma 90.00
loop_
_atom_site_label
_atom_site_fract_x
_atom_site_fract_y
_atom_site_fract_z
Y1 0.0000 0.0000 0.0000
Mn1 0.0000 0.0000 0.5000
P1 0.0675 0.2500 0.6250
# Energy relative to the lowest polymorph listed for this composition ... 0.297 eV/atom
# V ... 18.92 Å³ per atom
# Total moment ... 0.000 μB per atom
# Crystal system ... tetragonal
# E ... -7.144 eV per atom

***

# Ta2TiSe4, optimized geometry, DFT PBE-GGA
data_Ta2TiSe4
_space_group_name_H-M_alt 'C 1 2/m 1'
_space_group_IT_number 12
_cell_length_a 14.0411
_cell_length_b 3.4542
_cell_length_c 6.3531
_cell_angle_alpha 90.00
_cell_angle_beta 114.60
_cell_angle_gamma 90.00
loop_
_space_group_symop_operation_xyz
'x,y,z'
'-x,-y,-z'
'-x,y,-z'
'x,-y,z'
'x+1/2,y+1/2,z'
'-x+1/2,-y+1/2,-z'
'-x+1/2,y+1/2,-z'
'x+1/2,-y+1/2,z'
loop_
_atom_site_label
_atom_site_fract_x
_atom_site_fract_y
_atom_site_fract_z
Ta1 0.2442 0.0000 0.1779
Ti1 0.0000 0.5000 0.5000
Se1 0.1016 0.5000 0.9466
Se2 0.1392 0.0000 0.4758
# V ... 20.01 Å³ per atom
# Total moment ... 0.183 μB per atom
# Uncorrected formation energy ... -587 kJ/mol of formula units
# Crystal system ... monoclinic
# E ... -7.374 eV per atom